(1)
BiO2F: relaxed, PBE-GGA.

Values from the calculation:
For the electronic total energy, the calculation gives -4.82 eV per atom. Its crystal system is tetragonal. As for the uncorrected formation energy: -3.63 eV per formula unit. The density of states at the Fermi level is 1.0 states/eV/f.u.

```
BiO2F
1.0
7.2868 0.0000 0.0000
0.0000 7.2868 0.0000
3.6434 3.6434 2.2480
O Bi F
4 2 2
direct
0.3750 0.2501 0.7500
0.8750 0.9999 0.7500
0.7499 0.1250 0.2500
0.0001 0.6250 0.2500
0.7500 0.2500 0.5000
0.0000 0.0000 0.0000
0.5000 0.5000 0.0000
0.2500 0.7500 0.5000
```



(2)
BiOF: relaxed, PBE-GGA.

Values from the calculation:
For the electronic total energy, the calculation gives -5.38 eV per atom. Its crystal system is monoclinic. As for the uncorrected formation energy: -5.42 eV per formula unit. The density of states at the Fermi level is 0.0 states/eV/f.u.

```
BiOF
1.0
5.1978 0.0000 0.0000
0.0000 6.6199 -0.2466
0.0000 -2.0615 6.4813
F Bi O
4 4 4
direct
0.3197 0.5684 0.8523
0.1803 0.0684 0.8523
0.8197 0.9316 0.1477
0.6803 0.4316 0.1477
0.9661 0.7280 0.7207
0.0339 0.2720 0.2793
0.4661 0.7720 0.2793
0.5339 0.2280 0.7207
0.8194 0.3826 0.5689
0.3194 0.1174 0.4311
0.6806 0.8826 0.5689
0.1806 0.6174 0.4311
```



(3)
Bi2O3F: relaxed, PBE-GGA.

Values from the calculation:
For the electronic total energy, the calculation gives -5.42 eV per atom. Its crystal system is orthorhombic. As for the uncorrected formation energy: -8.02 eV per formula unit. The density of states at the Fermi level is 4.1 states/eV/f.u.

```
Bi2O3F
1.0
-3.3973 -3.5705 2.9151
-1.8146 -2.3224 -4.9593
6.7430 -0.7953 1.2606
O Bi F
6 4 2
direct
0.2411 0.4911 0.4821
0.7589 0.5089 0.5179
0.2411 0.9911 0.4821
0.5000 0.2500 0.0000
0.5000 0.7500 0.0000
0.7589 0.0089 0.5179
0.4290 0.6380 0.2759
0.5710 0.3620 0.7241
0.1531 0.8620 0.7241
0.8469 0.1380 0.2759
0.0000 0.0000 0.0000
0.0000 0.5000 0.0000
```



(4)
Bi7O6F9: relaxed, PBE-GGA.

Values from the calculation:
For the electronic total energy, the calculation gives -5.28 eV per atom. The excess energy over the best structure of this formula in the dataset is 18 meV per atom. Its crystal system is orthorhombic. As for the uncorrected formation energy: -42.46 eV per formula unit. The density of states at the Fermi level is 0.0 states/eV/f.u.

```
Bi7O6F9
1.0
5.8423 0.0000 0.0000
0.0000 5.8667 0.0000
0.0000 -2.9334 20.8709
Bi F O
14 18 12
direct
0.3080 0.3063 0.2054
0.2564 0.4380 0.5000
0.2934 0.9562 0.3475
0.7436 0.9380 0.5000
0.2511 0.2490 0.9424
0.7066 0.4562 0.3475
0.2934 0.1087 0.6525
0.7066 0.6087 0.6525
0.3080 0.6008 0.7946
0.2511 0.8066 0.0576
0.6920 0.8063 0.2054
0.6920 0.1008 0.7946
0.7489 0.3066 0.0576
0.7489 0.7490 0.9424
0.8870 0.5807 0.5000
0.9130 0.7116 0.7375
0.1130 0.0807 0.5000
0.0870 0.2116 0.7375
0.9437 0.0542 0.8740
0.5368 0.2610 0.5639
0.0870 0.9741 0.2625
0.9437 0.6802 0.1260
0.4632 0.7610 0.5639
0.1223 0.3416 0.3943
0.9130 0.4741 0.2625
0.4632 0.6972 0.4361
0.0563 0.5542 0.8740
0.8777 0.9472 0.6057
0.0563 0.1802 0.1260
0.8777 0.8416 0.3943
0.5368 0.1972 0.4361
0.1223 0.4472 0.6057
0.5089 0.8726 0.8498
0.5000 0.0220 0.0000
0.4804 0.6605 0.2945
0.5196 0.1605 0.2945
0.0000 0.4973 0.0000
0.5196 0.3660 0.7055
0.4804 0.8660 0.7055
0.5000 0.5220 0.0000
0.4911 0.0228 0.1502
0.5089 0.5228 0.1502
0.0000 0.9973 0.0000
0.4911 0.3726 0.8498
```



(5)
BiO2F2: relaxed, PBE-GGA.

Values from the calculation:
For the electronic total energy, the calculation gives -4.24 eV per atom. The excess energy over the best structure of this formula in the dataset is 526 meV per atom. Its crystal system is tetragonal. As for the uncorrected formation energy: -3.68 eV per formula unit. The density of states at the Fermi level is 1.3 states/eV/f.u.

```
BiO2F2
1.0
-1.6129 1.1118 4.0282
-2.0947 -3.9512 0.2518
3.4031 -1.6876 1.8284
Bi F O
1 2 2
direct
0.0000 0.0000 0.0000
0.0000 0.5000 0.0000
0.5000 0.0000 0.0000
0.0000 0.0000 0.5000
0.5000 0.5000 0.5000
```



(6)
Bi4O5F: relaxed, PBE-GGA.

Values from the calculation:
For the electronic total energy, the calculation gives -5.45 eV per atom. Its crystal system is orthorhombic. As for the uncorrected formation energy: -12.36 eV per formula unit. The density of states at the Fermi level is 1.6 states/eV/f.u.

```
Bi4O5F
1.0
5.9184 0.0000 0.0000
0.0000 7.8432 0.0000
0.0000 0.0000 7.7687
Bi O F
8 10 2
direct
0.4993 0.7192 0.0000
0.4993 0.2808 0.0000
0.5007 0.2192 0.5000
0.0128 0.0000 0.7590
0.0128 0.0000 0.2410
0.9872 0.5000 0.2590
0.5007 0.7808 0.5000
0.9872 0.5000 0.7410
0.7445 0.2877 0.7091
0.2555 0.2123 0.2091
0.7445 0.7123 0.2909
0.7445 0.7123 0.7091
0.1274 0.0000 0.5000
0.2555 0.7877 0.2091
0.2555 0.7877 0.7909
0.2555 0.2123 0.7909
0.7445 0.2877 0.2909
0.8726 0.5000 0.0000
0.6282 0.0000 0.0000
0.3718 0.5000 0.5000
```



(7)
Bi2O2F7: relaxed, PBE-GGA.

Values from the calculation:
For the electronic total energy, the calculation gives -4.58 eV per atom. Its crystal system is monoclinic. As for the uncorrected formation energy: -19.57 eV per formula unit. The density of states at the Fermi level is 8.1 states/eV/f.u.

```
Bi2O2F7
1.0
8.1874 -1.1062 -1.0875
-0.6279 5.3753 1.5297
-0.9694 -1.0037 5.4481
F Bi O
7 2 2
direct
0.0000 0.0000 0.0000
0.1694 0.0614 0.5733
0.1630 0.5639 0.5639
0.1694 0.5733 0.0614
0.8306 0.9386 0.4267
0.8370 0.4361 0.4361
0.8306 0.4267 0.9386
0.9936 0.7222 0.7222
0.0064 0.2778 0.2778
0.5000 0.0808 0.9192
0.5000 0.9192 0.0808
```



(8)
BiO2F: relaxed, PBE-GGA.

Values from the calculation:
For the electronic total energy, the calculation gives -4.47 eV per atom. Its crystal system is trigonal. As for the uncorrected formation energy: -2.22 eV per formula unit. The density of states at the Fermi level is 0.4 states/eV/f.u.

```
BiO2F
1.0
-5.9731 0.0159 0.8905
-4.9113 -3.5139 -0.0606
-4.3781 -2.2583 3.4934
F O Bi
1 2 1
direct
0.0000 0.0000 0.0000
0.1082 0.1082 0.1082
0.8918 0.8918 0.8918
0.5000 0.5000 0.5000
```